VASP calculation (PBE) on a geometry-optimized BeZnSb2 structure.

Cell and atoms, written as CIF:
```
data_BeZnSb2
_chemical_formula_sum 'Be4 Zn4 Sb8'
_symmetry_space_group_name_H-M 'F -4 3 m'
_symmetry_Int_Tables_number 216
_symmetry_space_group_name_Hall 'F -4 2 3'
_cell_length_a 6.967
_cell_length_b 6.967
_cell_length_c 6.967
_cell_angle_alpha 90.00
_cell_angle_beta 90.00
_cell_angle_gamma 90.00
loop_
_atom_site_label
_atom_site_type_symbol
_atom_site_fract_x
_atom_site_fract_y
_atom_site_fract_z
Be1 Be 0.000 0.000 0.000
Zn1 Zn 0.250 0.250 0.750
Sb1 Sb 0.000 0.000 0.500
Sb2 Sb 0.250 0.250 0.250
```

ΔE_f (raw) (meV per atom): 637
DOS(E_F) (states/eV/atom): 0.615
Calculated total energy (eV/atom): -2.674
Offset from the most stable computed form (eV per atom): 0.442

***

VASP calculation (PBE) on a geometry-optimized BeZn2Sb structure.

Cell and atoms, written as CIF:
```
data_BeZn2Sb
_chemical_formula_sum 'Be1 Zn2 Sb1'
_symmetry_space_group_name_H-M 'P m m m'
_symmetry_Int_Tables_number 47
_cell_length_a 2.773
_cell_length_b 3.802
_cell_length_c 6.605
_cell_angle_alpha 90.00
_cell_angle_beta 90.00
_cell_angle_gamma 90.00
loop_
_symmetry_equiv_pos_as_xyz
'x,y,z'
'-x,-y,-z'
'-x,-y,z'
'x,y,-z'
'x,-y,-z'
'-x,y,z'
'-x,y,-z'
'x,-y,z'
loop_
_atom_site_label
_atom_site_type_symbol
_atom_site_fract_x
_atom_site_fract_y
_atom_site_fract_z
Be1 Be 0.000 0.000 0.000
Zn1 Zn 0.500 0.500 0.188
Sb1 Sb 0.000 0.000 0.500
```

ΔE_f (raw) (meV per atom): 378
DOS(E_F) (states/eV/atom): 0.326
Calculated total energy (eV/atom): -2.221
Offset from the most stable computed form (eV per atom): 0.136

***

VASP calculation (PBE) on a geometry-optimized Be2ZnSb structure.

Cell and atoms, written as CIF:
```
data_Be2ZnSb
_chemical_formula_sum 'Be4 Zn2 Sb2'
_symmetry_space_group_name_H-M 'C m m 2'
_symmetry_Int_Tables_number 35
_cell_length_a 4.063
_cell_length_b 4.361
_cell_length_c 7.007
_cell_angle_alpha 90.00
_cell_angle_beta 90.00
_cell_angle_gamma 90.00
loop_
_symmetry_equiv_pos_as_xyz
'x,y,z'
'-x,-y,z'
'-x,y,z'
'x,-y,z'
'x+1/2,y+1/2,z'
'-x+1/2,-y+1/2,z'
'-x+1/2,y+1/2,z'
'x+1/2,-y+1/2,z'
loop_
_atom_site_label
_atom_site_type_symbol
_atom_site_fract_x
_atom_site_fract_y
_atom_site_fract_z
Be1 Be 0.000 0.000 0.000
Be2 Be 0.000 0.500 0.136
Zn1 Zn 0.000 0.000 0.339
Sb1 Sb 0.000 0.500 0.707
```

ΔE_f (raw) (meV per atom): 490
DOS(E_F) (states/eV/atom): 0.359
Calculated total energy (eV/atom): -2.722
Offset from the most stable computed form (eV per atom): 0.160

***

VASP calculation (PBE) on a geometry-optimized Be2ZnSb structure.

Cell and atoms, written as CIF:
```
data_Be2ZnSb
_chemical_formula_sum 'Be6 Zn3 Sb3'
_symmetry_space_group_name_H-M 'R -3 m'
_symmetry_Int_Tables_number 166
_symmetry_space_group_name_Hall '-R 3 2"'
_cell_length_a 3.1821
_cell_length_b 3.1821
_cell_length_c 21.5205
_cell_angle_alpha 90.00
_cell_angle_beta 90.00
_cell_angle_gamma 120.00
loop_
_atom_site_label
_atom_site_type_symbol
_atom_site_fract_x
_atom_site_fract_y
_atom_site_fract_z
Be1 Be 0.0000 0.0000 0.2436
Zn1 Zn 0.0000 0.0000 0.5000
Sb1 Sb 0.0000 0.0000 0.0000
```

ΔE_f (raw) (meV per atom): 550
DOS(E_F) (states/eV/atom): 0.446
Calculated total energy (eV/atom): -2.663
Offset from the most stable computed form (eV per atom): 0.219